Entry 1:
Here is crystalline HfThAgAu at its relaxed geometry from Alexandria. Energies are from GGA-PBE.

**Space-group type**: F-43m, No. 216
**Spin magnetization**: 0.0 μB/f.u.
**Energy of formation**: -57.3 kJ/mol of formula units
**Raw total energy**: -24.1 eV/f.u.

Cell: 5.073 5.073 5.073 Å, 60.00 60.00 60.00°
Fractional coordinates of all 4 atoms:
Hf1 0.000 0.000 0.000
Th1 0.500 0.500 0.500
Ag1 0.750 0.750 0.750
Au1 0.250 0.250 0.250



Entry 2:
Here is crystalline TmHfAgAu at its relaxed geometry from Alexandria. Energies are from GGA-PBE.

**Space-group type**: F-43m, No. 216
**Spin magnetization**: 0.0 μB/f.u.
**Energy of formation**: -127.5 kJ/mol of formula units
**Raw total energy**: -21.9 eV/f.u.

Cell: 4.927 4.927 4.927 Å, 60.00 60.00 60.00°
Fractional coordinates of all 4 atoms:
Tm1 0.000 0.000 0.000
Hf1 0.500 0.500 0.500
Ag1 0.250 0.250 0.250
Au1 0.750 0.750 0.750



Entry 3:
Here is crystalline YHfAgAu at its relaxed geometry from Alexandria. Energies are from GGA-PBE.

**Space-group type**: F-43m, No. 216
**Spin magnetization**: 0.0 μB/f.u.
**Energy of formation**: -117.0 kJ/mol of formula units
**Raw total energy**: -23.8 eV/f.u.

Cell: 4.965 4.965 4.965 Å, 60.00 60.00 60.00°
Fractional coordinates of all 4 atoms:
Y1 0.000 0.000 0.000
Hf1 0.500 0.500 0.500
Ag1 0.250 0.250 0.250
Au1 0.750 0.750 0.750



Entry 4:
Here is crystalline Hf2Zn5Ag2Au3 at its relaxed geometry from Alexandria. Energies are from GGA-PBE.

**Space-group type**: I4/mmm, No. 139
**Spin magnetization**: 0.0 μB/f.u.
**Energy of formation**: -136.8 kJ/mol of formula units
**Raw total energy**: -43.2 eV/f.u.

Cell: 16.700 16.700 16.700 Å, 167.59 167.59 17.59°
Fractional coordinates of all 12 atoms:
Hf1 0.222 0.222 0.000
Hf2 0.778 0.778 0.000
Zn1 0.000 0.000 0.000
Zn2 0.071 0.571 0.500
Zn3 0.429 0.929 0.500
Zn4 0.571 0.071 0.500
Zn5 0.929 0.429 0.500
Ag1 0.132 0.132 0.000
Ag2 0.868 0.868 0.000
Au1 0.320 0.320 0.000
Au2 0.500 0.500 0.000
Au3 0.680 0.680 0.000